1.
This record from Alexandria via LeMat-Bulk describes an optimized crystal structure of Cr4SbBr. The functional is PBE.

a b c (Å): 7.1002 7.1002 7.1002
angles (deg): 90.00 90.00 90.00
With the nearest neighbours (Å) after each atom.
Space group F-43m (No. 216)
Unique sites:
Cr 0.1216 0.1216 0.3784 x16  6 Cr 2.44-2.58
Sb 0.0000 0.0000 0.0000 x4  12 Cr 2.95, 4 Br 3.07
Br 0.2500 0.2500 0.7500 x4  12 Cr 2.94, 4 Sb 3.07

## Properties
Raw formation energy (eV per atom): 0.828

---

2.
This record from Alexandria via LeMat-Bulk describes an optimized crystal structure of CrSb2Br. The functional is PBE.

a b c (Å): 4.1124 4.1124 6.7816
angles (deg): 90.00 90.00 90.00
With the nearest neighbours (Å) after each atom.
Space group P4/mmm (No. 123)
Unique sites:
Cr 0.0000 0.0000 0.0000 x1  4 Br 2.91
Sb 0.0000 0.5000 0.5000 x2  4 Sb 2.91
Br 0.5000 0.5000 0.0000 x1  4 Cr 2.91

## Properties
Energy above the lowest structure with this stoichiometry (meV/atom): 420
Raw formation energy (eV per atom): 0.360

---

3.
This record from Alexandria via LeMat-Bulk describes an optimized crystal structure of CrSb2Br. The functional is PBE.

a b c (Å): 3.3260 3.3260 9.4174
angles (deg): 90.00 90.00 90.00
With the nearest neighbours (Å) after each atom.
Space group P4mm (No. 99)
Unique sites:
Cr 0.0000 0.0000 0.0000 x1  4 Br 2.83, 4 Sb 2.95
Sb 0.0000 0.0000 0.4484 x1  8 Sb 3.33-3.39
Sb 0.5000 0.5000 0.1896 x1  4 Cr 2.95
Br 0.5000 0.5000 0.8320 x1  4 Cr 2.83

## Properties
Energy above the lowest structure with this stoichiometry (meV/atom): 236
Raw formation energy (eV per atom): 0.176

---

4.
This record from Alexandria via LeMat-Bulk describes an optimized crystal structure of CrSb2Br. The functional is PBE.

a b c (Å): 3.7013 3.7013 28.7233
angles (deg): 90.00 90.00 120.00
With the nearest neighbours (Å) after each atom.
Space group R3m (No. 160, hexagonal axes)
Unique sites:
Cr 0.0000 0.0000 0.0000 x3  3 Br 2.64, 3 Sb 2.84
Sb 0.0000 0.0000 0.2684 x3  3 Cr 2.84, 3 Sb 3.07
Sb 0.0000 0.0000 0.5250 x3  3 Sb 3.07
Br 0.0000 0.0000 0.7205 x3  3 Cr 2.64

## Properties
Energy above the lowest structure with this stoichiometry (meV/atom): 80
Raw formation energy (eV per atom): 0.020

---

5.
This record from Alexandria via LeMat-Bulk describes an optimized crystal structure of CrSb2Br. The functional is PBE.

a b c (Å): 7.2730 7.2730 7.2730
angles (deg): 90.00 90.00 90.00
With the nearest neighbours (Å) after each atom.
Space group Fm-3m (No. 225)
Unique sites:
Cr 0.0000 0.0000 0.0000 x4  8 Sb 3.15
Sb 0.2500 0.2500 0.2500 x8  4 Cr 3.15, 4 Br 3.15
Br 0.0000 0.0000 0.5000 x4  8 Sb 3.15

## Properties
Energy above the lowest structure with this stoichiometry (meV/atom): 575
Raw formation energy (eV per atom): 0.515

---

6.
This record from Alexandria via LeMat-Bulk describes an optimized crystal structure of CrSb2Br. The functional is PBE.

a b c (Å): 3.3828 5.2202 5.5913
angles (deg): 90.00 90.00 90.00
With the nearest neighbours (Å) after each atom.
Space group Pmmm (No. 47)
Unique sites:
Cr 0.0000 0.0000 0.0000 x1  4 Sb 3.11, 4 Br 3.27, 2 Cr 3.38
Sb 0.0000 0.5000 0.5000 x1  4 Br 3.11, 6 Sb 3.27-3.38
Sb 0.5000 0.5000 0.0000 x1  4 Cr 3.11, 6 Sb 3.27-3.38
Br 0.5000 0.0000 0.5000 x1  4 Sb 3.11, 4 Cr 3.27, 2 Br 3.38

## Properties
Energy above the lowest structure with this stoichiometry (meV/atom): 424
Raw formation energy (eV per atom): 0.364

---

7.
This record from Alexandria via LeMat-Bulk describes an optimized crystal structure of CrSb2Br. The functional is PBE.

a b c (Å): 7.3637 7.3637 7.3637
angles (deg): 90.00 90.00 90.00
With the nearest neighbours (Å) after each atom.
Space group F-43m (No. 216)
Unique sites:
Cr 0.0000 0.0000 0.0000 x4  4 Br 3.19, 4 Sb 3.19
Sb 0.0000 0.0000 0.5000 x4  4 Sb 3.19, 4 Br 3.19
Sb 0.2500 0.2500 0.7500 x4  4 Cr 3.19, 4 Sb 3.19
Br 0.2500 0.2500 0.2500 x4  4 Cr 3.19, 4 Sb 3.19

## Properties
Energy above the lowest structure with this stoichiometry (meV/atom): 451
Raw formation energy (eV per atom): 0.391

---

8.
This record from Alexandria via LeMat-Bulk describes an optimized crystal structure of CrSb2Br. The functional is PBE.

a b c (Å): 3.9302 3.7389 8.0690
angles (deg): 90.00 103.66 90.00
With the nearest neighbours (Å) after each atom.
Space group Pm (No. 6)
Unique sites:
Cr 0.0000 0.0000 0.0000 x1  2 Br 2.57, 1 Sb 2.80
Sb 0.4203 0.5000 0.8335 x1  4 Cr 3.01, 4 Sb 3.10
Sb 0.8279 0.0000 0.6428 x1  1 Cr 2.80, 4 Sb 3.10
Br 0.1099 0.5000 0.2241 x1  2 Cr 2.57

## Properties
Energy above the lowest structure with this stoichiometry (meV/atom): 75
Raw formation energy (eV per atom): 0.015

---

Number 1: magnetization 0.00 μB/f.u., V 357.9 Å³ per cell. Number 2: magnetization 4.44 μB/f.u., V 114.7 Å³ per cell. Number 3: magnetization 3.86 μB/f.u., V 104.2 Å³ per cell. Number 4: magnetization 4.16 μB/f.u., V 340.8 Å³ per cell. Number 5: magnetization 4.23 μB/f.u., V 384.7 Å³ per cell. Number 6: magnetization 4.42 μB/f.u., V 98.7 Å³ per cell. Number 7: magnetization 4.57 μB/f.u., V 399.3 Å³ per cell. Number 8: magnetization 3.77 μB/f.u., V 115.2 Å³ per cell.